[1]
PBE PrSm2Cd, optimized geometry; E_form = -0.15 eV/atom; D(E_F) = 4.64 states/eV/f.u.; ΔE to the lowest computed polymorph = 0 meV/atom; electronic total energy = -3.93 eV/atom; density = 7.3 g/cm³
1.0
-1.3110 1.1915 -3.2781
-0.8065 -3.5107 -0.9535
-8.2270 0.9068 3.6199
Sm Pr Cd
2 1 1
Direct
0.0000 0.0000 0.2205
0.0000 0.0000 0.7795
0.5000 0.5000 0.5000
0.5000 0.5000 0.0000

[2]
PBE NaTmPbBr6, optimized geometry; D(E_F) = 0.00 states/eV/f.u.; E_form (uncorrected) = -13.18 eV per formula unit; electronic total energy = -3.64 eV/atom; density = 4.8 g/cm³
1.0
-4.6657 0.9936 5.6092
7.0705 -1.5709 1.3264
2.8174 12.7524 0.0846
Br Tm Na Pb
12 2 2 2
Direct
0.6604 0.6398 0.1282
0.6604 0.0206 0.3718
0.3396 0.3602 0.8718
0.6398 0.9794 0.8718
0.3602 0.3396 0.3718
0.0206 0.3602 0.6282
0.0206 0.6604 0.8718
0.3396 0.9794 0.6282
0.9794 0.6398 0.3718
0.6398 0.6604 0.6282
0.3602 0.0206 0.1282
0.9794 0.3396 0.1282
0.6667 0.3333 0.2500
0.3333 0.6667 0.7500
0.6667 0.3333 0.7500
0.3333 0.6667 0.2500
0.0000 0.0000 0.5000
0.0000 0.0000 0.0000

[3]
PBE GaTe2Br8, optimized geometry; D(E_F) = 2.60 states/eV/f.u.; E_form (uncorrected) = -3.64 eV per formula unit; electronic total energy = -2.39 eV/atom; density = 3.9 g/cm³
1.0
-5.9906 -4.0430 -1.9653
3.8782 -2.4337 -6.7441
4.6949 -6.6381 -0.5842
Br Te Ga
8 2 1
Direct
0.7739 0.2656 0.8025
0.2261 0.7344 0.1975
0.8889 0.8044 0.8044
0.4190 0.6991 0.6991
0.1111 0.1956 0.1956
0.2261 0.1975 0.7344
0.5810 0.3009 0.3009
0.7739 0.8025 0.2656
0.5596 0.8562 0.8562
0.4404 0.1438 0.1438
0.0000 0.0000 0.0000

[4]
PBE NdMg9Pd2, optimized geometry; E_form = -0.29 eV/atom; D(E_F) = 8.43 states/eV/f.u.; electronic total energy = -2.75 eV/atom; density = 3.7 g/cm³
1.0
-7.0857 -2.3014 1.3017
-2.0500 -8.1278 -3.5584
-1.0611 -4.8374 7.6420
Mg Pd Nd
18 4 2
Direct
0.7400 0.8194 0.5753
0.0653 0.3194 0.9247
0.1347 0.1806 0.4247
0.6847 0.5753 0.1806
0.6153 0.0753 0.3194
0.7400 0.5753 0.8194
0.6847 0.1806 0.5753
0.0000 0.0000 0.0000
0.7500 0.5000 0.5000
0.4406 0.4247 0.8194
0.3094 0.6806 0.0753
0.1347 0.4247 0.1806
0.0100 0.9247 0.6806
0.3094 0.0753 0.6806
0.4406 0.8194 0.4247
0.0100 0.6806 0.9247
0.0653 0.9247 0.3194
0.6153 0.3194 0.0753
0.3750 0.7500 0.7500
0.8750 0.2500 0.7500
0.8750 0.2500 0.2500
0.8750 0.7500 0.2500
0.5000 0.0000 0.0000
0.2500 0.5000 0.5000

[5]
PBE GaTeF, optimized geometry; ΔE to the lowest computed polymorph = 182 meV/atom; E_form (uncorrected) = -3.34 eV per formula unit; electronic total energy = -3.79 eV/atom; density = 4.0 g/cm³
1.0
-3.9553 -0.5963 0.9463
2.5893 -6.2117 -2.0185
1.5697 -0.4551 6.2737
Ga Te F
2 2 2
Direct
0.8470 0.6940 0.3529
0.1897 0.3793 0.9958
0.7997 0.5994 0.9162
0.4441 0.8882 0.5134
0.0581 0.1162 0.9942
0.7096 0.4192 0.3567

[6]
PBE Co2TeOs, optimized geometry; D(E_F) = 5.20 states/eV/f.u.; E_form (uncorrected) = 2.95 eV per formula unit; electronic total energy = -6.41 eV/atom; density = 11.9 g/cm³
1.0
-4.9674 -6.0497 2.1746
-2.6961 -7.5951 1.0237
-2.5856 -6.6690 3.8524
Co Te Os
2 1 1
Direct
0.2534 0.2534 0.2534
0.9935 0.9935 0.9935
0.7473 0.7473 0.7473
0.5058 0.5058 0.5058